Record 1
Below is crystalline Li2Ti7O15 at its relaxed geometry, with properties calculated at the PBE level.

a b c (Å): 9.2216 9.2216 9.5533
angles (deg): 81.59 81.59 18.64
Atoms (fractional coordinates):
Ti 0.1887 0.1887 0.5985
Ti 0.5046 0.5046 0.3390
Ti 0.0000 0.0000 0.0000
Ti 0.4954 0.4954 0.6610
Ti 0.6824 0.6824 0.9467
Ti 0.3176 0.3176 0.0533
Ti 0.8113 0.8113 0.4015
O 0.0127 0.0127 0.7890
O 0.4268 0.4268 0.0088
O 0.7995 0.7995 0.9268
O 0.1871 0.1871 0.8138
O 0.2311 0.2311 0.4024
O 0.7689 0.7689 0.5976
O 0.5984 0.5984 0.3000
O 0.5732 0.5732 0.9912
O 0.9873 0.9873 0.2110
O 0.4016 0.4016 0.7000
O 0.8129 0.8129 0.1862
O 0.6249 0.6249 0.6039
O 0.0000 0.0000 0.5000
O 0.2005 0.2005 0.0732
O 0.3751 0.3751 0.3961
Li 0.1604 0.1604 0.2728
Li 0.8396 0.8396 0.7272

Calculated values
Volume   256.74 Å³/f.u.
Raw total energy   -8.42 eV/atom


Record 2
Below is crystalline ZnInCl3 at its relaxed geometry, with properties calculated at the PBE level.

a b c (Å): 20.4825 9.4892 9.4892
angles (deg): 157.12 152.68 27.32
Atoms (fractional coordinates):
Zn 0.1425 0.9807 0.0193
Zn 0.8575 0.0193 0.9807
Cl 0.6995 0.2753 0.7247
Cl 0.0133 0.3575 0.6425
Cl 0.3278 0.8840 0.1160
Cl 0.6722 0.1160 0.8840
Cl 0.3005 0.7247 0.2753
Cl 0.9867 0.6425 0.3575
In 0.5337 0.0840 0.9160
In 0.4663 0.9160 0.0840

Calculated values
Relative energy among the computed polymorphs   29 meV per atom
Volume   151.41 Å³/f.u.
Raw total energy   -2.91 eV/atom


Record 3
Below is crystalline KEuZnSb at its relaxed geometry, with properties calculated at the PBE level.

a b c (Å): 5.6122 5.6122 5.6122
angles (deg): 60.00 60.00 60.00
Last column: magnetic moment on the atom in μB.
Atoms (fractional coordinates):
Sb 0.2500 0.2500 0.2500  -0.06
K 0.0000 0.0000 0.0000  0.00
Zn 0.7500 0.7500 0.7500  0.00
Eu 0.5000 0.5000 0.5000  6.87

Calculated values
Volume   124.99 Å³/f.u.
Raw total energy   -4.62 eV/atom


Record 4
Below is crystalline Ba3PaAg2O8 at its relaxed geometry, with properties calculated at the PBE level.

a b c (Å): 6.0798 6.0798 8.1773
angles (deg): 90.00 90.00 120.00
Last column: magnetic moment on the atom in μB.
Atoms (fractional coordinates):
O 0.6730 0.8365 0.3457  0.12
O 0.8365 0.1635 0.6543  0.12
O 0.3333 0.6667 0.9367  0.37
O 0.1635 0.8365 0.3457  0.12
O 0.3270 0.1635 0.6543  0.12
O 0.1635 0.3270 0.3457  0.12
O 0.6667 0.3333 0.0633  0.37
O 0.8365 0.6730 0.6543  0.12
Ba 0.6667 0.3333 0.3673  0.00
Ba 0.3333 0.6667 0.6327  0.00
Ba 0.0000 0.0000 0.0000  -0.01
Pa 0.0000 0.0000 0.5000  0.18
Ag 0.6667 0.3333 0.8184  0.32
Ag 0.3333 0.6667 0.1816  0.32

Calculated values
Volume   261.77 Å³/f.u.
Raw total energy   -6.24 eV/atom


Record 5
Below is crystalline La4Tb2NdSc at its relaxed geometry, with properties calculated at the PBE level.

a b c (Å): 5.9575 9.6970 5.9578
angles (deg): 52.08 90.00 90.00
Atoms (fractional coordinates):
La 0.0000 0.7431 0.7571
La 0.5000 0.7408 0.2593
La 0.5000 0.2592 0.7407
La 0.0000 0.2569 0.2429
Tb 0.5000 0.0000 0.5000
Tb 0.0000 0.0000 0.0000
Nd 0.5000 0.5000 0.0000
Sc 0.0000 0.5000 0.5000

Calculated values
Volume   271.53 Å³/f.u.
Energy of formation   0.093 eV/atom
Raw total energy   -4.92 eV/atom


Record 6
Below is crystalline CsZnSnBi at its relaxed geometry, with properties calculated at the PBE level.

a b c (Å): 4.3534 4.3534 15.7680
angles (deg): 90.00 90.00 90.00
Atoms (fractional coordinates):
Cs 0.7500 0.7500 0.2719
Cs 0.2500 0.2500 0.7281
Sn 0.7500 0.2500 0.5000
Sn 0.2500 0.7500 0.5000
Bi 0.2500 0.2500 0.1153
Bi 0.7500 0.7500 0.8847
Zn 0.7500 0.2500 0.0000
Zn 0.2500 0.7500 0.0000

Calculated values
Volume   149.42 Å³/f.u.
Energy of formation   -0.122 eV/atom
Raw total energy   -2.62 eV/atom